Entry 1:
The following is a PBE calculation of BaBI3 after structural relaxation, from Alexandria via LeMat-Bulk.

The value obtained for the density of states at the Fermi level is 0.00 states/eV/cell. The energy above the lowest structure with this stoichiometry is 0.000 eV per atom.

The space group is Pm-3m (No. 221) and the conventional cell measures 5.4817, 5.4817 and 5.4817 Å, with angles of 90.00, 90.00 and 90.00 degrees. The asymmetric unit holds Ba at (0.0000, 0.0000, 0.0000), B at (0.5000, 0.5000, 0.5000) and I at (0.0000, 0.5000, 0.5000).

Entry 2:
The following is a PBE calculation of BaBI3 after structural relaxation, from Alexandria via LeMat-Bulk.

The value obtained for the density of states at the Fermi level is 0.00 states/eV/cell. The energy above the lowest structure with this stoichiometry is 0.554 eV per atom.

The space group is Pm-3m (No. 221) and the conventional cell measures 6.7327, 6.7327 and 6.7327 Å, with angles of 90.00, 90.00 and 90.00 degrees. The asymmetric unit holds Ba at (0.0000, 0.0000, 0.0000), B at (0.5000, 0.5000, 0.5000) and I at (0.0000, 0.0000, 0.5000).

Entry 3:
The following is a PBE calculation of Ba2BI2 after structural relaxation, from Alexandria via LeMat-Bulk.

The value obtained for the density of states at the Fermi level is 8.20 states/eV/cell. The energy above the lowest structure with this stoichiometry is 0.314 eV per atom.

The space group is I4/mmm (No. 139) and the conventional cell measures 5.2682, 5.2682 and 17.1230 Å, with angles of 90.00, 90.00 and 90.00 degrees. The asymmetric unit holds Ba at (0.0000, 0.0000, 0.1197), B at (0.0000, 0.0000, 0.5000) and I at (0.0000, 0.5000, 0.2500).

Entry 4:
The following is a PBE calculation of Ba2BI2 after structural relaxation, from Alexandria via LeMat-Bulk.

The value obtained for the density of states at the Fermi level is 11.10 states/eV/cell. The energy above the lowest structure with this stoichiometry is 0.000 eV per atom.

The space group is P4/mbm (No. 127) and the conventional cell measures 8.7197, 8.7197 and 5.2390 Å, with angles of 90.00, 90.00 and 90.00 degrees. The asymmetric unit holds Ba at (0.1717, 0.3283, 0.0000), B at (0.0000, 0.0000, 0.0000) and I at (0.1481, 0.6481, 0.5000).